1.
## Rb2WI6 (GGA-PBE)

Data for an optimized crystal structure of Rb2WI6.

Mass density = 4.8 g cm⁻³
E = -30.3 eV per formula unit
Crystal system = tetragonal
Magnetization = 2.00 μB per formula unit

Geometry as POSCAR:
```
Rb2WI6
1.0
-4.057 4.057 5.861
4.057 -4.057 5.861
4.057 4.057 -5.861
Rb W I
2 1 6
Direct
0.250 0.750 0.500
0.750 0.250 0.500
0.000 0.000 0.000
0.219 0.738 0.957
0.237 0.237 0.000
0.262 0.219 0.481
0.738 0.781 0.519
0.763 0.763 0.000
0.781 0.262 0.043
```

***

2.
## Rb2WI6 (GGA-PBE)

Data for an optimized crystal structure of Rb2WI6.

Mass density = 4.8 g cm⁻³
E = -30.3 eV per formula unit
Crystal system = tetragonal
Magnetization = 2.00 μB per formula unit

Geometry as POSCAR:
```
Rb2WI6
1.0
7.952 0.000 0.000
0.000 7.952 0.000
0.000 0.000 12.315
Rb W I
4 2 12
Direct
0.000 0.500 0.250
0.000 0.500 0.750
0.500 0.000 0.250
0.500 0.000 0.750
0.000 0.000 0.000
0.500 0.500 0.500
0.000 0.000 0.228
0.000 0.000 0.772
0.194 0.289 0.000
0.211 0.306 0.500
0.289 0.806 0.000
0.306 0.789 0.500
0.500 0.500 0.272
0.500 0.500 0.728
0.694 0.211 0.500
0.711 0.194 0.000
0.789 0.694 0.500
0.806 0.711 0.000
```

***

3.
## Rb3ZnI6 (GGA-PBE)

Data for an optimized crystal structure of Rb3ZnI6.

Mass density = 3.8 g cm⁻³
E = -23.0 eV per formula unit
Crystal system = triclinic

Geometry as POSCAR:
```
Rb3ZnI6
1.0
7.667 0.000 0.000
-3.746 7.907 0.000
-3.813 -2.640 7.754
Rb Zn I
3 1 6
Direct
0.000 0.000 0.000
0.450 0.194 0.715
0.550 0.806 0.285
0.000 0.500 0.500
0.062 0.787 0.332
0.219 0.390 0.367
0.380 0.753 0.814
0.620 0.247 0.186
0.781 0.610 0.633
0.938 0.213 0.668
```

***

4.
## Re2I (GGA-PBE)

Data for an optimized crystal structure of Re2I.

Mass density = 14.8 g cm⁻³
E = -21.3 eV per formula unit
Crystal system = cubic
Magnetization = 0.00 μB per formula unit

Geometry as POSCAR:
```
Re2I
1.0
0.000 3.831 3.831
3.831 0.000 3.831
3.831 3.831 0.000
Re I
4 2
Direct
0.000 0.000 0.000
0.000 0.000 0.500
0.000 0.500 0.000
0.500 0.000 0.000
0.375 0.375 0.375
0.625 0.625 0.625
```

***

5.
## Re3S4I (GGA-PBE)

Data for an optimized crystal structure of Re3S4I.

Mass density = 6.9 g cm⁻³
E = -59.5 eV per formula unit
Crystal system = monoclinic
Magnetization = 0.00 μB per formula unit

Geometry as POSCAR:
```
Re3S4I
1.0
6.415 0.000 0.000
0.000 11.794 0.000
-4.721 0.000 10.304
Re S I
12 16 4
Direct
0.043 0.146 0.454
0.043 0.354 0.954
0.044 0.053 0.662
0.044 0.447 0.162
0.310 0.527 0.059
0.310 0.973 0.559
0.690 0.027 0.441
0.690 0.473 0.941
0.956 0.553 0.838
0.956 0.947 0.338
0.957 0.646 0.046
0.957 0.854 0.546
0.207 0.707 0.950
0.207 0.793 0.450
0.269 0.068 0.350
0.269 0.432 0.850
0.287 0.610 0.246
0.287 0.890 0.746
0.366 0.156 0.663
0.366 0.344 0.163
0.634 0.656 0.837
0.634 0.844 0.337
0.713 0.110 0.254
0.713 0.390 0.754
0.731 0.568 0.150
0.731 0.932 0.650
0.793 0.207 0.550
0.793 0.293 0.050
0.128 0.126 0.913
0.128 0.374 0.413
0.872 0.626 0.587
0.872 0.874 0.087
```

***

6.
## Re3S4I (GGA-PBE)

Data for an optimized crystal structure of Re3S4I.

Mass density = 7.0 g cm⁻³
E = -59.5 eV per formula unit
Crystal system = monoclinic
Magnetization = 0.00 μB per formula unit

Geometry as POSCAR:
```
Re3S4I
1.0
6.424 0.000 0.000
0.000 11.796 0.000
-4.778 0.000 10.262
Re S I
12 16 4
Direct
0.042 0.147 0.455
0.042 0.353 0.955
0.045 0.053 0.663
0.045 0.447 0.163
0.310 0.527 0.060
0.310 0.973 0.560
0.690 0.027 0.440
0.690 0.473 0.940
0.955 0.553 0.837
0.955 0.947 0.337
0.958 0.647 0.045
0.958 0.853 0.545
0.207 0.706 0.949
0.207 0.794 0.449
0.269 0.068 0.350
0.269 0.432 0.850
0.290 0.611 0.247
0.290 0.889 0.747
0.367 0.156 0.665
0.367 0.344 0.165
0.633 0.656 0.835
0.633 0.844 0.335
0.710 0.111 0.253
0.710 0.389 0.753
0.731 0.568 0.150
0.731 0.932 0.650
0.793 0.206 0.551
0.793 0.294 0.051
0.129 0.126 0.915
0.129 0.374 0.415
0.871 0.626 0.585
0.871 0.874 0.085
```

***

7.
## Ta4Re3I (GGA-PBE)

Data for an optimized crystal structure of Ta4Re3I.

Mass density = 11.1 g cm⁻³
E = -73.2 eV per formula unit
Crystal system = tetragonal
Magnetization = 0.00 μB per formula unit

Geometry as POSCAR:
```
Ta4Re3I
1.0
-2.860 2.860 6.423
2.860 -2.860 6.423
2.860 2.860 -6.423
Ta Re I
4 3 1
Direct
0.144 0.144 0.564
0.420 0.856 0.000
0.580 0.580 0.436
0.856 0.420 0.000
0.250 0.750 0.500
0.500 0.500 0.000
0.750 0.250 0.500
0.000 0.000 0.000
```

***

8.
## Re3Te7I7 (GGA-PBE)

Data for an optimized crystal structure of Re3Te7I7.

Mass density = 6.0 g cm⁻³
E = -72.5 eV per formula unit
Crystal system = triclinic
Magnetization = 0.01 μB per formula unit

Geometry as POSCAR:
```
Re3Te7I7
1.0
11.078 0.000 0.000
5.252 9.824 0.000
3.197 -0.916 11.920
Re Te I
6 14 14
Direct
0.061 0.118 0.412
0.114 0.984 0.598
0.157 0.845 0.408
0.843 0.155 0.592
0.886 0.016 0.402
0.939 0.882 0.588
0.019 0.259 0.603
0.103 0.978 0.221
0.152 0.288 0.300
0.210 0.711 0.595
0.293 0.957 0.722
0.333 0.947 0.417
0.378 0.615 0.296
0.622 0.385 0.704
0.667 0.053 0.583
0.707 0.043 0.278
0.790 0.289 0.405
0.848 0.712 0.700
0.897 0.022 0.779
0.981 0.741 0.397
0.019 0.595 0.856
0.143 0.173 0.892
0.289 0.768 0.879
0.298 0.547 0.121
0.361 0.312 0.442
0.393 0.123 0.130
0.430 0.308 0.843
0.570 0.692 0.157
0.607 0.877 0.870
0.639 0.688 0.558
0.702 0.453 0.879
0.711 0.232 0.121
0.857 0.827 0.108
0.981 0.405 0.144
```

***

Which formula does entry 7 have?
Ta4Re3I